Record 1
DFT (PBE) results for an optimized crystal structure of Zn2RhW.

Results
The energy of formation comes out at 270 meV per atom. The value obtained for the size of the total moment is 1.4 μB per formula unit. The total energy is -21.8 eV for the cell shown. The energy above the most stable polymorph in this dataset is 373 meV/atom.

POSCAR file:
```
Zn2RhW
1.0
-1.4571 -3.8959 1.2352
-1.3722 -0.6125 4.0705
-4.2245 -0.5823 0.8009
Rh Zn W
1 2 1
Direct
0.0000 0.0000 0.0000
0.7500 0.7500 0.7500
0.2500 0.2500 0.2500
0.5000 0.5000 0.5000
```



Record 2
DFT (PBE) results for an optimized crystal structure of Pr4Sn3Rh.

Results
The energy of formation comes out at -706 meV per atom. The value obtained for the size of the total moment is 0.0 μB per formula unit. The total energy is -44.1 eV for the cell shown.

POSCAR file:
```
Pr4Sn3Rh
1.0
-4.4995 -0.2498 0.6336
0.2650 -4.4710 0.1192
1.5721 0.3951 11.3210
Pr Sn Rh
4 3 1
Direct
0.0000 0.5000 0.8784
0.0000 0.0000 0.1341
0.5000 0.5000 0.3339
0.5000 0.0000 0.6412
0.5000 0.0000 0.9277
0.0000 0.0000 0.4133
0.0000 0.5000 0.5904
0.5000 0.5000 0.0809
```



Record 3
DFT (PBE) results for an optimized crystal structure of TaCuAsSe2.

Results
The value obtained for the size of the total moment is 0.0 μB per formula unit. Its uncorrected formation energy is 0.37 eV/atom. The total energy is -25.7 eV for the cell shown. The energy above the most stable polymorph in this dataset is 0 meV/atom.

POSCAR file:
```
TaCuAsSe2
1.0
4.9835 0.0000 0.0000
0.0000 4.9835 0.0000
0.0000 0.0000 5.0627
Cu As Se Ta
1 1 2 1
Direct
0.5000 0.5000 0.5000
0.0000 0.0000 0.5000
0.5000 0.0000 0.0000
0.0000 0.5000 0.0000
0.0000 0.0000 0.0000
```



Record 4
DFT (PBE) results for an optimized crystal structure of NbAsS2N.

Results
The value obtained for the size of the total moment is 0.0 μB per formula unit. Its uncorrected formation energy is 0.25 eV/atom. The total energy is -30.0 eV for the cell shown. The energy above the most stable polymorph in this dataset is 0 meV/atom.

POSCAR file:
```
NbAsS2N
1.0
4.9508 0.0000 0.0000
0.0000 4.9508 0.0000
0.0000 0.0000 3.8640
As S Nb N
1 2 1 1
Direct
0.5000 0.5000 0.5000
0.0000 0.5000 0.0000
0.5000 0.0000 0.0000
0.0000 0.0000 0.0000
0.0000 0.0000 0.5000
```



Record 5
DFT (PBE) results for an optimized crystal structure of RbSiAgOs2.

Results
The value obtained for the size of the total moment is 3.6 μB per formula unit. Its uncorrected formation energy is 2.61 eV/atom. The total energy is -18.7 eV for the cell shown.

POSCAR file:
```
RbSiAgOs2
1.0
-0.4400 3.4005 3.6271
-5.4347 0.4790 -1.1084
-0.9891 -3.6284 3.2817
Si Ag Rb Os
1 1 1 2
Direct
0.5000 0.5000 0.5000
0.0000 0.0000 0.0000
0.0000 0.5000 0.0000
0.0000 0.0000 0.5000
0.5000 0.0000 0.0000
```



Record 6
DFT (PBE) results for an optimized crystal structure of Pr3Sm6Th2.

Results
The energy of formation comes out at 20 meV per atom. The value obtained for the size of the total moment is 0.0 μB per formula unit. The total energy is -57.3 eV for the cell shown.

POSCAR file:
```
Pr3Sm6Th2
1.0
3.6349 0.0000 0.2230
1.8106 3.1519 0.2230
-0.1855 -0.1074 32.7613
Sm Th Pr
6 2 3
Direct
0.9074 0.9074 0.2779
0.8174 0.8174 0.5477
0.1826 0.1826 0.4523
0.0926 0.0926 0.7221
0.3640 0.3640 0.9079
0.6360 0.6360 0.0921
0.5449 0.5449 0.3654
0.4551 0.4551 0.6346
0.2723 0.2723 0.1832
0.7277 0.7277 0.8168
0.0000 0.0000 0.0000
```



Record 7
DFT (PBE) results for an optimized crystal structure of Ca2TcBr.

Results
The value obtained for the size of the total moment is 2.0 μB per formula unit. Its uncorrected formation energy is 0.08 eV/atom. The total energy is -15.7 eV for the cell shown. The energy above the most stable polymorph in this dataset is 323 meV/atom.

POSCAR file:
```
Ca2TcBr
1.0
-3.3078 1.8132 -1.9948
0.1588 -3.0210 -3.0094
-3.7952 -3.3947 3.2075
Ca Br Tc
2 1 1
Direct
0.5000 0.5000 0.3752
0.0000 0.0000 0.8749
0.5000 0.5000 0.8750
0.0000 0.0000 0.3750
```



Record 8
DFT (PBE) results for an optimized crystal structure of SrCeBr6.

Results
The value obtained for the size of the total moment is 0.0 μB per formula unit. Its uncorrected formation energy is -1.76 eV/atom. The total energy is -31.7 eV for the cell shown. The energy above the most stable polymorph in this dataset is 0 meV/atom.

POSCAR file:
```
SrCeBr6
1.0
-1.4501 1.5917 -7.1122
2.9770 -6.5423 1.8854
-6.8718 -1.3769 2.1364
Br Ce Sr
6 1 1
Direct
0.2547 0.2547 0.7301
0.7453 0.7453 0.2699
0.8758 0.5750 0.7345
0.4250 0.1242 0.2655
0.1242 0.4250 0.2655
0.5750 0.8758 0.7345
0.5000 0.5000 0.5000
0.0000 0.0000 0.0000
```